Ge4Ir | PBE | relaxed

Lattice parameters (Å, degrees): 8.6462 8.6462 8.9081 110.98 110.98 72.57
Fractional coordinates of all 30 atoms:
Ge (0.0000, 0.5000, 0.5000)
Ge (0.1012, 0.5422, 0.2623)
Ge (0.1027, 0.8432, 0.0599)
Ge (0.1568, 0.8973, 0.4401)
Ge (0.1980, 0.8020, 0.7500)
Ge (0.1988, 0.2249, 0.3050)
Ge (0.2068, 0.5256, 0.9314)
Ge (0.2249, 0.1988, 0.8050)
Ge (0.3365, 0.4520, 0.6883)
Ge (0.4520, 0.3365, 0.1883)
Ge (0.4578, 0.8988, 0.2377)
Ge (0.4744, 0.7932, 0.5686)
Ge (0.5000, 0.0000, 0.0000)
Ge (0.5256, 0.2068, 0.4314)
Ge (0.5422, 0.1012, 0.7623)
Ge (0.5480, 0.6635, 0.8117)
Ge (0.6635, 0.5480, 0.3117)
Ge (0.7751, 0.8012, 0.1950)
Ge (0.7932, 0.4744, 0.0686)
Ge (0.8012, 0.7751, 0.6950)
Ge (0.8020, 0.1980, 0.2500)
Ge (0.8432, 0.1027, 0.5599)
Ge (0.8973, 0.1568, 0.9401)
Ge (0.8988, 0.4578, 0.7377)
Ir (0.0575, 0.2083, 0.5075)
Ir (0.2083, 0.0575, 0.0075)
Ir (0.3321, 0.6679, 0.2500)
Ir (0.6679, 0.3321, 0.7500)
Ir (0.7917, 0.9425, 0.9925)
Ir (0.9425, 0.7917, 0.4925)

Space group: No. 15
E_form in meV/atom: 35